Record 1
Fe2BO4 | meta-GGA SCAN | PBEsol geometry

Cell lengths 2.9627, 9.0379, 9.3219 Å; angles 90.00, 90.00, 90.00 degrees
With the nearest neighbours (Å) after each atom.
Atoms (fractional coordinates):
1 Fe 0.2500 0.8904 0.3055  6 O 1.98-2.21
2 O 0.2500 0.7520 0.5009  1 B 1.40
3 O 0.7500 0.5147 0.1210  1 B 1.35
4 O 0.2500 0.7675 0.7609  1 B 1.39
5 B 0.7500 0.6640 0.1272  3 O 1.35-1.40
6 B 0.7500 0.1640 0.3728  3 O 1.35-1.40
7 B 0.2500 0.3360 0.8728  3 O 1.35-1.40
8 Fe 0.7500 0.6146 0.4424  6 O 1.89-2.01
9 O 0.7500 0.0060 0.8838  4 Fe 1.89-2.00
10 O 0.2500 0.9940 0.1162  4 Fe 1.89-2.00
11 O 0.7500 0.5060 0.6162  4 Fe 1.89-2.00
12 Fe 0.2500 0.3904 0.1945  6 O 1.98-2.21
13 O 0.7500 0.7480 0.0009  1 B 1.40
14 B 0.2500 0.8360 0.6272  3 O 1.35-1.40
15 O 0.2500 0.9853 0.6210  1 B 1.35
16 Fe 0.7500 0.1096 0.6945  6 O 1.98-2.21
17 Fe 0.2500 0.8854 0.9424  6 O 1.89-2.01
18 O 0.2500 0.2520 0.9991  1 B 1.40
19 O 0.2500 0.4853 0.8790  1 B 1.35
20 O 0.7500 0.2480 0.4991  1 B 1.40
21 Fe 0.7500 0.6096 0.8055  6 O 1.98-2.21
22 O 0.7500 0.2325 0.2391  1 B 1.39
23 Fe 0.2500 0.3854 0.5576  6 O 1.89-2.01
24 Fe 0.7500 0.1146 0.0576  6 O 1.89-2.01
25 O 0.2500 0.2675 0.7391  1 B 1.39
26 O 0.7500 0.0147 0.3790  1 B 1.35
27 O 0.7500 0.7325 0.2609  1 B 1.39
28 O 0.2500 0.4940 0.3838  4 Fe 1.89-2.00

Calculated values
Total DFT energy (no corrections) in eV/atom: -11.6753
DOS(E_F) in states/eV per cell: 10.44
Formation energy (no corrections) in meV per atom: -1873.4

Record 2
ThGaRh | meta-GGA SCAN | PBEsol geometry

Cell lengths 4.0727, 7.0880, 7.0880 Å; angles 120.00, 90.00, 90.00 degrees
With the nearest neighbours (Å) after each atom.
Atoms (fractional coordinates):
1 Ga 0.0000 0.2353 0.2353  4 Rh 2.63-2.78, 2 Ga 2.89
2 Th 0.5000 0.4156 0.0000  5 Rh 2.95, 6 Ga 3.20-3.27
3 Th 0.5000 0.0000 0.4156  5 Rh 2.95, 6 Ga 3.20-3.27
4 Rh 0.0000 0.6667 0.3333  3 Ga 2.78, 6 Th 2.95
5 Ga 0.0000 0.0000 0.7647  4 Rh 2.63-2.78, 2 Ga 2.89
6 Rh 0.5000 0.0000 0.0000  6 Ga 2.63, 3 Th 2.95
7 Rh 0.0000 0.3333 0.6667  3 Ga 2.78, 6 Th 2.95
8 Th 0.5000 0.5844 0.5844  5 Rh 2.95, 6 Ga 3.20-3.27
9 Ga 0.0000 0.7647 0.0000  4 Rh 2.63-2.78, 2 Ga 2.89

Calculated values
Total DFT energy (no corrections) in eV/atom: -49.6719
Formation energy in kJ/mol of formula units: -287
DOS(E_F) in states/eV per cell: 4.99

Record 3
HgP | meta-GGA SCAN | PBEsol geometry

Cell lengths 3.2713, 3.2713, 3.8996 Å; angles 90.00, 90.00, 110.82 degrees
With the nearest neighbours (Å) after each atom.
Atoms (fractional coordinates):
1 P 0.5000 0.5000 0.5000  4 Hg 2.69
2 Hg 0.0000 0.0000 0.0000  4 P 2.69

Calculated values
Total DFT energy (no corrections) in eV/atom: -38.5766
Formation energy in kJ/mol of formula units: 136
Relative energy among the computed polymorphs in meV per atom: 663
DOS(E_F) in states/eV per cell: 0.85

Which of these has the highest DOS(E_F)?
Fe2BO4